(1)
A relaxed NdSc4Ga4 crystal, computed with PBE.

a b c (Å): 8.7488 8.7488 5.2893
angles (deg): 90.00 90.00 90.00
Last column: nearest neighbours and their distance in Å.
Space group P4_2/n (No. 86, origin choice 2)
Inequivalent atoms, fractional coordinates:
Nd1 0.2500 0.2500 0.2500 x2  4 Ga 3.15, 4 Sc 3.24
Sc1 0.1034 0.8368 0.6317 x8  5 Ga 2.79-3.04, 1 Sc 2.98
Ga1 0.0101 0.1249 0.8576 x8  1 Ga 2.66, 4 Sc 2.79-2.91

Properties
**Energy relative to the elements**: -0.3399 eV per atom
**Crystal system**: tetragonal
**Density of states at the Fermi level**: 0.903 states/eV per atom
**Total magnetic moment**: 0.0 μB/cell


(2)
A relaxed NdSc5Ga3 crystal, computed with PBE.

a b c (Å): 8.5121 8.5121 6.2254
angles (deg): 90.00 90.00 120.00
Last column: nearest neighbours and their distance in Å.
Space group P6_3/mcm (No. 193)
Inequivalent atoms, fractional coordinates:
Nd1 0.0000 0.0000 0.0000 x2  2 Nd 3.11, 6 Sc 3.25, 6 Ga 3.31
Sc1 0.0000 0.3349 0.2500 x6  3 Ga 2.74-2.89
Sc2 0.3333 0.6667 0.0000 x4  8 Sc 3.11-3.23, 6 Ga 3.20
Ga1 0.0000 0.3430 0.7500 x6  3 Sc 2.74-2.89

Properties
**Energy relative to the elements**: -0.4322 eV per atom
**Crystal system**: hexagonal
**Density of states at the Fermi level**: 1.048 states/eV per atom
**Total magnetic moment**: 0.0 μB/cell